MgMoS2 | PBE | relaxed

Values from the calculation:
The value obtained for the formation energy from raw total energies is -0.41 eV per atom. As for the crystal system: tetragonal. As for the total energy: -89.28 eV for the cell shown. The calculation puts the density of states at the Fermi level at 12.75 states/eV/cell.

Lattice parameters (Å, degrees): 5.455 5.455 11.452 90.00 90.00 90.00
Positions (direct):
Mg  0.000  0.000  0.000
Mg  0.000  0.500  0.250
Mg  0.500  0.000  0.750
Mg  0.500  0.500  0.500
Mo  0.000  0.000  0.500
Mo  0.000  0.500  0.750
Mo  0.500  0.000  0.250
Mo  0.500  0.500  0.000
S  0.227  0.250  0.625
S  0.250  0.727  0.875
S  0.250  0.773  0.375
S  0.273  0.250  0.125
S  0.727  0.750  0.125
S  0.750  0.227  0.375
S  0.750  0.273  0.875
S  0.773  0.750  0.625